# 1
The following is a PBE calculation of crystalline HPtIN2 at its relaxed geometry, from Alexandria via LeMat-Bulk.

Cell and atoms, written as POSCAR:
```
HPtIN2
1.0
4.130 0.000 0.000
0.000 4.130 0.000
0.000 0.000 3.452
Pt I H N
1 1 1 2
Cartesian
2.065 2.065 1.726
0.000 0.000 1.726
0.000 0.000 0.000
0.000 2.065 0.000
2.065 0.000 0.000
```

Results
Calculated total energy in eV/atom: -3.1560
Space group: P4/mmm
Theoretical density in kg/m³: 9898
Offset from the most stable computed form in eV/f.u.: 5.061

# 2
The following is a PBE calculation of crystalline HPtIN2 at its relaxed geometry, from Alexandria via LeMat-Bulk.

Cell and atoms, written as POSCAR:
```
HPtIN2
1.0
3.710 0.000 0.000
0.000 3.710 0.000
0.000 0.000 9.021
I H N Pt
1 1 2 1
Cartesian
0.000 0.000 4.510
1.855 1.855 4.510
0.000 1.855 0.000
1.855 0.000 0.000
0.000 0.000 0.000
```

Results
Calculated total energy in eV/atom: -4.1683
Space group: P4/mmm
Theoretical density in kg/m³: 4695
Offset from the most stable computed form in eV/f.u.: 0.000

# 3
The following is a PBE calculation of crystalline RbHI2N at its relaxed geometry, from Alexandria via LeMat-Bulk.

Cell and atoms, written as POSCAR:
```
RbHI2N
1.0
7.099 0.000 0.000
0.000 7.099 0.000
0.000 0.000 6.799
Rb I N H
1 2 1 1
Cartesian
0.000 0.000 0.000
0.000 3.550 0.000
3.550 0.000 0.000
0.000 0.000 3.399
3.550 3.550 3.399
```

Results
Calculated total energy in eV/atom: -1.9893
Space group: P4/mmm
Theoretical density in kg/m³: 1717
Offset from the most stable computed form in eV/f.u.: 3.341

# 4
The following is a PBE calculation of crystalline RbH6IN2 at its relaxed geometry, from Alexandria via LeMat-Bulk.

Cell and atoms, written as POSCAR:
```
RbH6IN2
1.0
-5.027 5.402 -3.605
-0.141 -3.054 7.622
6.528 3.640 -0.099
H Rb I N
12 2 2 4
Cartesian
2.516 3.304 0.453
1.642 5.311 2.344
5.537 1.025 6.365
-1.693 6.067 -2.697
3.053 -0.079 6.615
3.380 4.447 -0.319
-4.177 4.963 -2.447
-1.156 2.684 3.465
0.155 5.246 1.686
-2.020 1.541 4.237
-0.282 0.678 1.574
1.205 0.743 2.232
0.972 6.224 -1.145
0.388 -0.235 5.063
2.952 2.797 3.405
-1.592 3.192 0.513
-1.333 2.291 4.397
2.693 3.698 -0.479
0.894 5.905 1.966
0.466 0.084 1.952
```

Results
Calculated total energy in eV/atom: -4.5020
Space group: C2/c
Theoretical density in kg/m³: 2431

# 5
The following is a PBE calculation of crystalline RbHIN2 at its relaxed geometry, from Alexandria via LeMat-Bulk.

Cell and atoms, written as POSCAR:
```
RbHIN2
1.0
-4.200 1.126 3.286
-3.200 -3.261 -2.972
0.979 -3.056 2.299
Rb H N I
1 1 2 1
Cartesian
-3.210 -2.595 1.306
0.000 0.000 0.000
-2.100 0.563 1.643
-1.600 -1.631 -1.486
0.490 -1.528 1.149
```

Results
Calculated total energy in eV/atom: -2.8847
Space group: P4/mmm
Theoretical density in kg/m³: 3418
Offset from the most stable computed form in eV/f.u.: 0.000

# 6
The following is a PBE calculation of crystalline RbHIN2 at its relaxed geometry, from Alexandria via LeMat-Bulk.

Cell and atoms, written as POSCAR:
```
RbHIN2
1.0
6.310 0.000 0.000
0.000 6.310 0.000
0.000 0.000 6.877
I Rb N H
1 1 2 1
Cartesian
0.000 0.000 3.439
0.000 0.000 0.000
3.155 0.000 0.000
0.000 3.155 0.000
3.155 3.155 3.439
```

Results
Calculated total energy in eV/atom: -2.4364
Space group: P4/mmm
Theoretical density in kg/m³: 1464
Offset from the most stable computed form in eV/f.u.: 2.241

# 7
The following is a PBE calculation of crystalline RbHI2N at its relaxed geometry, from Alexandria via LeMat-Bulk.

Cell and atoms, written as POSCAR:
```
RbHI2N
1.0
6.768 0.000 0.000
0.000 6.768 0.000
0.000 0.000 3.115
I Rb H N
2 1 1 1
Cartesian
0.000 3.384 0.000
3.384 0.000 0.000
3.384 3.384 1.558
0.000 0.000 0.000
0.000 0.000 1.558
```

Results
Calculated total energy in eV/atom: -2.6575
Space group: P4/mmm
Theoretical density in kg/m³: 4123
Offset from the most stable computed form in eV/f.u.: 0.000

# 8
The following is a PBE calculation of crystalline ReHIN2 at its relaxed geometry, from Alexandria via LeMat-Bulk.

Cell and atoms, written as POSCAR:
```
ReHIN2
1.0
3.801 0.000 0.000
0.000 3.801 0.000
0.000 0.000 5.818
Re H N I
1 1 2 1
Cartesian
0.000 0.000 0.000
1.901 1.901 2.909
1.901 0.000 0.000
0.000 1.901 0.000
0.000 0.000 2.909
```

Results
Calculated total energy in eV/atom: -5.9748
Space group: P4/mmm
Theoretical density in kg/m³: 6758
Offset from the most stable computed form in eV/f.u.: 0.000

# 9
The following is a PBE calculation of crystalline ReHIN2 at its relaxed geometry, from Alexandria via LeMat-Bulk.

Cell and atoms, written as POSCAR:
```
ReHIN2
1.0
4.092 0.000 0.000
0.000 4.092 0.000
0.000 0.000 3.288
N H I Re
2 1 1 1
Cartesian
0.000 2.046 0.000
2.046 0.000 0.000
0.000 0.000 0.000
0.000 0.000 1.644
2.046 2.046 1.644
```

Results
Calculated total energy in eV/atom: -4.3069
Space group: P4/mmm
Theoretical density in kg/m³: 10320
Offset from the most stable computed form in eV/f.u.: 8.340

# 10
The following is a PBE calculation of crystalline ReHI2N at its relaxed geometry, from Alexandria via LeMat-Bulk.

Cell and atoms, written as POSCAR:
```
ReHI2N
1.0
-1.609 -5.175 1.416
4.110 -2.139 -3.147
2.320 0.091 2.968
N I H Re
1 2 1 1
Cartesian
1.160 0.045 1.484
-0.804 -2.588 0.708
2.055 -1.069 -1.574
2.411 -3.612 0.618
0.000 0.000 0.000
```

Results
Calculated total energy in eV/atom: -4.6824
Space group: P4/mmm
Theoretical density in kg/m³: 6391
Offset from the most stable computed form in eV/f.u.: 0.000

# 11
The following is a PBE calculation of crystalline ReHI2N at its relaxed geometry, from Alexandria via LeMat-Bulk.

Cell and atoms, written as POSCAR:
```
ReHI2N
1.0
-4.398 -0.638 -2.569
2.303 -3.378 -3.104
-0.767 -2.242 1.870
I N Re H
2 1 1 1
Cartesian
1.151 -1.689 -1.552
-2.199 -0.319 -1.284
-0.384 -1.121 0.935
-1.431 -3.128 -1.902
0.000 0.000 0.000
```

Results
Calculated total energy in eV/atom: -3.6303
Space group: P4/mmm
Theoretical density in kg/m³: 9501
Offset from the most stable computed form in eV/f.u.: 5.260

# 12
The following is a PBE calculation of crystalline ReHIN2 at its relaxed geometry, from Alexandria via LeMat-Bulk.

Cell and atoms, written as POSCAR:
```
ReHIN2
1.0
-2.870 -1.612 -2.141
3.380 -4.134 -1.418
-1.189 -2.047 3.133
N H Re I
2 1 1 1
Cartesian
-1.435 -0.806 -1.071
-0.594 -1.023 1.567
-0.339 -3.896 -0.213
1.690 -2.067 -0.709
0.000 0.000 0.000
```

Results
Calculated total energy in eV/atom: -3.8075
Space group: P4/mmm
Theoretical density in kg/m³: 6669
Offset from the most stable computed form in eV/f.u.: 10.837

# 13
The following is a PBE calculation of crystalline HRhIN2 at its relaxed geometry, from Alexandria via LeMat-Bulk.

Cell and atoms, written as POSCAR:
```
HRhIN2
1.0
-1.853 -0.090 3.255
-1.328 -3.399 -0.849
4.858 -2.571 2.695
I N H Rh
1 2 1 1
Cartesian
2.429 -1.286 1.347
-0.664 -1.700 -0.425
-0.927 -0.045 1.628
0.838 -3.030 2.550
0.000 0.000 0.000
```

Results
Calculated total energy in eV/atom: -4.4272
Space group: P4/mmm
Theoretical density in kg/m³: 5001
Offset from the most stable computed form in eV/f.u.: 0.000

# 14
The following is a PBE calculation of crystalline HRhIN2 at its relaxed geometry, from Alexandria via LeMat-Bulk.

Cell and atoms, written as POSCAR:
```
HRhIN2
1.0
-2.417 1.436 -2.759
0.463 -3.289 -2.117
-2.787 -1.471 1.676
Rh I N H
1 1 2 1
Cartesian
-2.370 -1.662 -1.600
-1.393 -0.736 0.838
0.232 -1.645 -1.059
-1.208 0.718 -1.380
0.000 0.000 0.000
```

Results
Calculated total energy in eV/atom: -3.5473
Space group: P4/mmm
Theoretical density in kg/m³: 7761
Offset from the most stable computed form in eV/f.u.: 4.399

# 15
The following is a PBE calculation of crystalline HRuI2N at its relaxed geometry, from Alexandria via LeMat-Bulk.

Cell and atoms, written as POSCAR:
```
HRuI2N
1.0
5.127 0.000 0.000
0.000 5.127 0.000
0.000 0.000 3.005
I N H Ru
2 1 1 1
Cartesian
0.000 2.564 0.000
2.564 0.000 0.000
0.000 0.000 1.503
0.000 0.000 0.000
2.564 2.564 1.503
```

Results
Calculated total energy in eV/atom: -3.3133
Space group: P4/mmm
Theoretical density in kg/m³: 7774
Offset from the most stable computed form in eV/f.u.: 3.644

# 16
The following is a PBE calculation of crystalline HRuIN2 at its relaxed geometry, from Alexandria via LeMat-Bulk.

Cell and atoms, written as POSCAR:
```
HRuIN2
1.0
3.999 0.000 0.000
0.000 3.999 0.000
0.000 0.000 3.463
H I N Ru
1 1 2 1
Cartesian
0.000 0.000 0.000
0.000 0.000 1.732
2.000 0.000 0.000
0.000 2.000 0.000
2.000 2.000 1.732
```

Results
Calculated total energy in eV/atom: -3.8331
Space group: P4/mmm
Theoretical density in kg/m³: 7705
Offset from the most stable computed form in eV/f.u.: 6.201

# 17
The following is a PBE calculation of crystalline HRuIN2 at its relaxed geometry, from Alexandria via LeMat-Bulk.

Cell and atoms, written as POSCAR:
```
HRuIN2
1.0
-0.643 1.992 3.110
-2.194 -2.745 1.304
4.600 -2.473 2.535
I N Ru H
1 2 1 1
Cartesian
2.300 -1.236 1.267
-0.321 0.996 1.555
-1.097 -1.372 0.652
0.000 0.000 0.000
0.881 -1.613 3.474
```

Results
Calculated total energy in eV/atom: -5.0732
Space group: P4/mmm
Theoretical density in kg/m³: 5232
Offset from the most stable computed form in eV/f.u.: 0.000

# 18
The following is a PBE calculation of crystalline HRuI2N at its relaxed geometry, from Alexandria via LeMat-Bulk.

Cell and atoms, written as POSCAR:
```
HRuI2N
1.0
-2.640 -1.579 4.692
-1.935 -4.565 -2.626
2.983 -1.868 1.050
N H I Ru
1 1 2 1
Cartesian
1.491 -0.934 0.525
-0.796 -4.006 1.558
-0.968 -2.283 -1.313
-1.320 -0.790 2.346
0.000 0.000 0.000
```

Results
Calculated total energy in eV/atom: -4.0422
Space group: P4/mmm
Theoretical density in kg/m³: 5312
Offset from the most stable computed form in eV/f.u.: 0.000

# 19
The following is a PBE calculation of crystalline SbHIN2 at its relaxed geometry, from Alexandria via LeMat-Bulk.

Cell and atoms, written as POSCAR:
```
SbHIN2
1.0
4.464 0.000 0.000
0.000 4.464 0.000
0.000 0.000 3.453
N H I Sb
2 1 1 1
Cartesian
0.000 2.232 0.000
2.232 0.000 0.000
0.000 0.000 0.000
0.000 0.000 1.727
2.232 2.232 1.727
```

Results
Calculated total energy in eV/atom: -3.0841
Space group: P4/mmm
Theoretical density in kg/m³: 6700
Offset from the most stable computed form in eV/f.u.: 2.440

# 20
The following is a PBE calculation of crystalline SbHIN2 at its relaxed geometry, from Alexandria via LeMat-Bulk.

Cell and atoms, written as POSCAR:
```
SbHIN2
1.0
4.475 0.000 0.000
0.000 3.483 0.000
0.000 0.000 4.475
Sb I H N
1 1 1 2
Cartesian
0.000 1.741 0.000
2.237 1.741 2.237
0.000 0.000 0.000
0.000 0.000 2.237
2.237 0.000 0.000
```

Results
Calculated total energy in eV/atom: -3.0629
Space group: P4/mmm
Theoretical density in kg/m³: 6612
Offset from the most stable computed form in eV/f.u.: 2.547